No. 1
## Ba3MnRu2O9 (PBE with a Hubbard U)

Data for a relaxed Ba3MnRu2O9 crystal.

Values from the calculation:
As for the crystal system: trigonal. Its symmetry is P-3m1, No. 164. For the density of states at the Fermi level, the calculation gives 9.9 states/eV per cell.

Structure (POSCAR):
```
Ba3MnRu2O9
1.0
-2.506 2.537 4.583
-0.639 -5.706 -0.870
5.843 -1.247 3.886
Ba Mn Ru O
3 1 2 9
direct
0.333 0.667 0.666
0.000 0.000 0.000
0.667 0.333 0.334
0.000 0.000 0.500
0.333 0.667 0.168
0.667 0.333 0.832
0.826 0.174 0.678
0.826 0.652 0.678
0.348 0.174 0.678
0.652 0.826 0.322
0.174 0.348 0.322
0.174 0.826 0.322
0.500 0.000 0.000
0.000 0.500 0.000
0.500 0.500 0.000
```

***

No. 2
## Co2CuReO6 (PBE with a Hubbard U)

Data for a relaxed Co2CuReO6 crystal.

Values from the calculation:
As for the crystal system: trigonal. Its symmetry is R3, No. 146. For the density of states at the Fermi level, the calculation gives 3.5 states/eV per cell.

Structure (POSCAR):
```
Co2CuReO6
1.0
5.056 0.000 0.000
2.528 4.378 0.000
2.528 1.460 4.711
Co Cu Re O
2 1 1 6
direct
0.524 0.524 0.429
0.007 0.007 0.979
0.800 0.800 0.599
0.324 0.323 0.030
0.605 0.230 0.227
0.230 0.939 0.226
0.939 0.605 0.227
0.387 0.729 0.766
0.729 0.117 0.766
0.117 0.387 0.766
```

***

In the order shown, the computed E_tot values come out to -104.2, -66.7 eV/cell.